The following is a PBE calculation of a geometry-optimized K3PmCl8 structure, from Alexandria.

ΔE_f (raw)	-1.61	eV/atom
SG	No. 139
crystal system	tetragonal

a = 7.1373 Å, b = 7.1373 Å, c = 9.0615 Å
α = 113.19°, β = 113.19°, γ = 90.00°
Last column: magnetic moment on the atom in μB.
Element x y z (fractional)
Cl1 0.3408 0.8855 0.2264  0.19
Cl2 0.1145 0.1145 0.7736  0.19
K1 0.2500 0.7500 0.5000  0.00
Cl3 0.6592 0.6592 0.7736  0.19
K2 0.5000 0.5000 0.0000  0.00
Cl4 0.3408 0.3408 0.2264  0.19
Cl5 0.8855 0.8855 0.2264  0.19
K3 0.7500 0.2500 0.5000  0.00
Cl6 0.8855 0.3408 0.2264  0.19
Cl7 0.1145 0.6592 0.7736  0.19
Cl8 0.6592 0.1145 0.7736  0.19
Pm1 0.0000 0.0000 0.0000  -0.01